# 1
TlCd2As2 | PBE | relaxed

a = 7.080 Å, b = 7.080 Å, c = 7.080 Å
α = 143.10°, β = 143.10°, γ = 53.17°
Positions (direct):
1 Tl 0.000 0.000 0.000
2 Cd 0.389 0.389 0.000
3 Cd 0.611 0.611 0.000
4 As 0.250 0.750 0.500
5 As 0.750 0.250 0.500

Calculated values
Energy above the most stable polymorph in this dataset (eV/atom): 0.097
Size of the total moment (μB per cell): 0.000
Calculated formation energy (eV per formula unit): 0.4
SG: I4/mmm, No. 139
Uncorrected energy (eV per atom): -2.6100
Density (g/cm3): 7.56

---

# 2
YNiSbTe2 | PBE | relaxed

a = 5.776 Å, b = 5.776 Å, c = 5.822 Å
α = 90.00°, β = 90.00°, γ = 90.00°
Positions (direct):
1 Y 0.000 0.000 0.000
2 Ni 0.500 0.500 0.500
3 Sb 0.000 0.000 0.500
4 Te 0.000 0.500 0.000
5 Te 0.500 0.000 0.000

Calculated values
Energy above the most stable polymorph in this dataset (eV/atom): 0.875
Size of the total moment (μB per cell): 1.139
SG: P4/mmm, No. 123
Uncorrected energy (eV per atom): -3.8917
Density (g/cm3): 4.48
Formation energy (no corrections) (meV per atom): 639

---

Which value of size of the total moment does entry 1 give?
0.000 μB per cell